HoThCo: optimized geometry, GGA-PBE.

Cell: 3.8371 3.8371 6.1847 Å, 90.00 90.00 120.00°
Fractional coordinates of all 3 atoms:
Ho 0.0000 0.0000 0.0000
Th 0.3333 0.6667 0.5070
Co 0.6667 0.3333 0.7385

## Properties
* formation energy: -12 kJ/mol of atoms
* crystal system: trigonal

---

Cd2AgHg: optimized geometry, GGA-PBE.

Cell: 10.1677 10.1677 10.1677 Å, 154.84 154.84 35.89°
Fractional coordinates of all 8 atoms:
Cd 0.1107 0.6250 0.9857
Cd 0.3750 0.3607 0.4857
Cd 0.6393 0.1250 0.0143
Cd 0.8750 0.8893 0.5143
Ag 0.0000 0.0000 0.0000
Ag 0.7500 0.2500 0.5000
Hg 0.2500 0.7500 0.5000
Hg 0.5000 0.5000 0.0000

## Properties
* formation energy: 10 kJ/mol of atoms
* crystal system: tetragonal

---

BTe2Ir: optimized geometry, GGA-PBE.

Cell: 8.1811 8.1811 8.1811 Å, 23.95 23.95 23.95°
Fractional coordinates of all 4 atoms:
B 0.0000 0.0000 0.0000
Te 0.3944 0.3944 0.3944
Te 0.6056 0.6056 0.6056
Ir 0.5000 0.5000 0.5000

## Properties
* raw formation energy: 94.63 kJ/mol of atoms
* crystal system: trigonal

---

TlSi2Au: optimized geometry, GGA-PBE.

Cell: 5.0024 5.0024 5.0024 Å, 125.72 125.72 80.35°
Fractional coordinates of all 4 atoms:
Tl 0.0000 0.0000 0.0000
Si 0.5000 0.5000 0.0000
Si 0.7500 0.2500 0.5000
Au 0.2500 0.7500 0.5000

## Properties
* raw formation energy: 52.48 kJ/mol of atoms
* crystal system: tetragonal

---

Tl6CdCl8: optimized geometry, GGA-PBE.

Cell: 8.2941 8.2941 8.2941 Å, 70.12 70.12 70.12°
Fractional coordinates of all 15 atoms:
Tl 0.0223 0.4442 0.7960
Tl 0.2040 0.9777 0.5558
Tl 0.4442 0.7960 0.0223
Tl 0.5558 0.2040 0.9777
Tl 0.7960 0.0223 0.4442
Tl 0.9777 0.5558 0.2040
Cd 0.5000 0.5000 0.5000
Cl 0.1694 0.1694 0.1694
Cl 0.1886 0.6538 0.4152
Cl 0.3462 0.5848 0.8114
Cl 0.4152 0.1886 0.6538
Cl 0.5848 0.8114 0.3462
Cl 0.6538 0.4152 0.1886
Cl 0.8114 0.3462 0.5848
Cl 0.8306 0.8306 0.8306

## Properties
* raw formation energy: -98.55 kJ/mol of atoms
* crystal system: trigonal

---

SrMnNb2: optimized geometry, GGA-PBE.

Cell: 4.7197 4.7197 4.7197 Å, 60.00 60.00 60.00°
Fractional coordinates of all 4 atoms:
Sr 0.0000 0.0000 0.0000
Mn 0.5000 0.5000 0.5000
Nb 0.2500 0.2500 0.2500
Nb 0.7500 0.7500 0.7500

## Properties
* formation energy: 99 kJ/mol of atoms
* crystal system: cubic

---

| no. | DOS(E_F) (states/eV per cell) | spin magnetization (μB/cell) |
| --- | --- | --- |
| 1 | 3.63 | 0.00 |
| 2 | 2.62 | 0.00 |
| 3 | 2.53 | 0.00 |
| 4 | 1.75 | 0.00 |
| 5 | 0.00 | 0.00 |
| 6 | 4.24 | 0.00 |